SrMg2Pt (PBE, optimized geometry); crystal system = monoclinic
1.0
4.257 0.000 0.000
0.000 4.255 0.000
-0.071 0.000 6.178
Sr Mg Pt
1 2 1
Direct
0.000 0.000 0.000 Sr
0.008 0.500 0.473 Mg
0.508 0.000 0.474 Mg
0.503 0.500 0.217 Pt


SrMgPt (PBE, optimized geometry); crystal system = cubic
1.0
6.929 0.000 0.000
0.000 6.929 0.000
0.000 0.000 6.929
Sr Mg Pt
4 4 4
Direct
0.000 0.000 0.000 Sr
0.000 0.500 0.500 Sr
0.500 0.000 0.500 Sr
0.500 0.500 0.000 Sr
0.000 0.000 0.500 Mg
0.000 0.500 0.000 Mg
0.500 0.000 0.000 Mg
0.500 0.500 0.500 Mg
0.250 0.250 0.250 Pt
0.250 0.750 0.750 Pt
0.750 0.250 0.750 Pt
0.750 0.750 0.250 Pt


Here are the calculated calculated total energy numbers, same order: -3.163 -3.675 (eV/atom).